(1)
## Pm12Si5Sn (PBE)

Data for a relaxed Pm12Si5Sn crystal.

a = 9.6960 Å, b = 9.8759 Å, c = 10.5279 Å
α = 90.00°, β = 90.00°, γ = 90.00°
Closest atoms and distances in Å follow each position.
Space group Immm (No. 71)
One atom of each set of equivalent atoms:
Pm  0.0000  0.1986  0.2305 [8 per cell]  2 Si 3.00-3.12
Pm  0.2052  0.5000  0.1796 [8 per cell]  3 Si 2.95-3.00
Pm  0.2285  0.3181  0.5000 [8 per cell]  4 Si 3.09-3.26
Si  0.0000  0.0000  0.0000 [2 per cell]  8 Pm 3.12-3.19
Si  0.0000  0.3766  0.0000 [4 per cell]  1 Si 2.44
Si  0.0000  0.5000  0.3869 [4 per cell]  1 Si 2.38
Sn  0.0000  0.0000  0.5000 [2 per cell]  8 Pm 3.43-3.45

Calculated values
formation energy (no corrections) = -551 meV/atom
ρ = 6.59 g/cm3
Fermi-level density of states = 29.13 states/eV/cell



(2)
## NdYPd4 (PBE)

Data for a relaxed NdYPd4 crystal.

a = 7.7682 Å, b = 7.7682 Å, c = 7.7682 Å
α = 90.00°, β = 90.00°, γ = 90.00°
Closest atoms and distances in Å follow each position.
Space group F-43m (No. 216)
One atom of each set of equivalent atoms:
Nd  0.0000  0.0000  0.0000 [4 per cell]  12 Pd 3.22, 4 Y 3.36
Y  0.2500  0.2500  0.7500 [4 per cell]  12 Pd 3.22, 4 Nd 3.36
Pd  0.1247  0.1247  0.3753 [16 per cell]  6 Pd 2.74-2.75

Calculated values
ρ = 9.34 g/cm3
Fermi-level density of states = 6.44 states/eV/cell
energy relative to the elements = -17.945 kcal/mol of atoms
relative energy among the computed polymorphs = 5.33 kJ/mol of atoms



(3)
## La2ZnPb (PBE)

Data for a relaxed La2ZnPb crystal.

a = 3.6738 Å, b = 4.3242 Å, c = 7.3582 Å
α = 90.00°, β = 90.00°, γ = 90.00°
Closest atoms and distances in Å follow each position.
Space group Pmmm (No. 47)
One atom of each set of equivalent atoms:
La  0.0000  0.0000  0.2340 [2 per cell]  4 Zn 3.32, 3 La 3.44-3.67, 4 Pb 3.45
Zn  0.5000  0.5000  0.0000 [1 per cell]  8 La 3.32, 2 Zn 3.67, 2 Pb 3.68
Pb  0.5000  0.5000  0.5000 [1 per cell]  8 La 3.45, 2 Pb 3.67, 2 Zn 3.68

Calculated values
ρ = 7.82 g/cm3
Fermi-level density of states = 3.24 states/eV/cell
energy relative to the elements = -10.165 kcal/mol of atoms



(4)
## Ce2LuSi (PBE)

Data for a relaxed Ce2LuSi crystal.

a = 3.2035 Å, b = 3.2035 Å, c = 33.4877 Å
α = 90.00°, β = 90.00°, γ = 120.00°
Closest atoms and distances in Å follow each position.
Space group R-3m (No. 166, hexagonal axes)
One atom of each set of equivalent atoms:
Ce  0.0000  0.0000  0.0947 [6 per cell]  3 Si 3.04, 1 Lu 3.17, 6 Ce 3.20
Lu  0.0000  0.0000  0.0000 [3 per cell]  2 Ce 3.17, 6 Lu 3.20
Si  0.0000  0.0000  0.5000 [3 per cell]  6 Ce 3.04, 6 Si 3.20

Calculated values
formation energy (no corrections) = 89 meV/atom
ρ = 8.09 g/cm3
Fermi-level density of states = 26.18 states/eV/cell
relative energy among the computed polymorphs = 38.80 kJ/mol of atoms



(5)
## YSiPb (PBE)

Data for a relaxed YSiPb crystal.

a = 4.5141 Å, b = 4.5141 Å, c = 4.4600 Å
α = 90.00°, β = 90.00°, γ = 120.00°
Closest atoms and distances in Å follow each position.
Space group P3m1 (No. 156)
One atom of each set of equivalent atoms:
Y  0.0000  0.0000  0.0000 [1 per cell]  3 Si 2.90
Si  0.6667  0.3333  0.7144 [1 per cell]  3 Pb 2.85, 3 Y 2.90
Pb  0.3333  0.6667  0.4550 [1 per cell]  3 Si 2.85

Calculated values
formation energy (no corrections) = -102 meV/atom
ρ = 6.84 g/cm3
Fermi-level density of states = 3.10 states/eV/cell
relative energy among the computed polymorphs = 39.50 kJ/mol of atoms



(6)
## NaAcZnPd (PBE)

Data for a relaxed NaAcZnPd crystal.

a = 7.4012 Å, b = 7.4012 Å, c = 7.4012 Å
α = 90.00°, β = 90.00°, γ = 90.00°
Closest atoms and distances in Å follow each position.
Space group F-43m (No. 216)
One atom of each set of equivalent atoms:
Na  0.0000  0.0000  0.0000 [4 per cell]  4 Pd 3.20, 4 Zn 3.20
Ac  0.0000  0.0000  0.5000 [4 per cell]  4 Pd 3.20, 4 Zn 3.20
Zn  0.2500  0.2500  0.2500 [4 per cell]  4 Ac 3.20, 4 Na 3.20
Pd  0.2500  0.2500  0.7500 [4 per cell]  4 Ac 3.20, 4 Na 3.20

Calculated values
ρ = 6.91 g/cm3
Fermi-level density of states = 14.06 states/eV/cell
energy relative to the elements = -5.704 kcal/mol of atoms



(7)
## UGa4 (PBE)

Data for a relaxed UGa4 crystal.

a = 4.3000 Å, b = 6.2395 Å, c = 14.0536 Å
α = 90.00°, β = 90.00°, γ = 90.00°
Closest atoms and distances in Å follow each position.
Space group Imma (No. 74)
One atom of each set of equivalent atoms:
U  0.0000  0.2500  0.1099 [4 per cell]  13 Ga 3.01-3.20
Ga  0.0000  0.0000  0.5000 [4 per cell]  6 Ga 2.78-3.05, 4 U 3.07
Ga  0.0000  0.0241  0.6977 [8 per cell]  6 Ga 2.60-2.87
Ga  0.0000  0.2500  0.8932 [4 per cell]  10 Ga 2.87-3.09, 3 U 3.05-3.12

Calculated values
ρ = 9.11 g/cm3
Fermi-level density of states = 29.01 states/eV/cell
energy relative to the elements = -3.867 kcal/mol of atoms
relative energy among the computed polymorphs = 0.00 kJ/mol of atoms



(8)
## LaZn2CuO (PBE)

Data for a relaxed LaZn2CuO crystal.

a = 4.5756 Å, b = 4.5756 Å, c = 4.3928 Å
α = 90.00°, β = 90.00°, γ = 90.00°
Closest atoms and distances in Å follow each position.
Space group P4/mmm (No. 123)
One atom of each set of equivalent atoms:
La  0.0000  0.0000  0.0000 [1 per cell]  8 Zn 3.17, 4 O 3.24
Zn  0.0000  0.5000  0.5000 [2 per cell]  2 Cu 2.29
Cu  0.5000  0.5000  0.5000 [1 per cell]  2 O 2.20, 4 Zn 2.29
O  0.5000  0.5000  0.0000 [1 per cell]  2 Cu 2.20

Calculated values
formation energy (no corrections) = -240 meV/atom
ρ = 6.31 g/cm3
Fermi-level density of states = 3.66 states/eV/cell



(9)
## CePmMg2Tl4 (PBE)

Data for a relaxed CePmMg2Tl4 crystal.

a = 5.3204 Å, b = 5.3204 Å, c = 26.2377 Å
α = 90.00°, β = 90.00°, γ = 120.00°
Closest atoms and distances in Å follow each position.
Space group R-3m (No. 166, hexagonal axes)
One atom of each set of equivalent atoms:
Ce  0.0000  0.0000  0.0000 [3 per cell]  8 Tl 3.27
Pm  0.0000  0.0000  0.5000 [3 per cell]  8 Tl 3.26
Mg  0.0000  0.0000  0.2499 [6 per cell]  8 Tl 3.26-3.30
Tl  0.0000  0.0000  0.1247 [6 per cell]  4 Mg 3.26-3.29, 3 Pm 3.26, 1 Ce 3.27
Tl  0.0000  0.0000  0.3756 [6 per cell]  4 Mg 3.26-3.30, 1 Pm 3.26, 3 Ce 3.27

Calculated values
ρ = 8.92 g/cm3
Fermi-level density of states = 25.16 states/eV/cell
energy relative to the elements = -5.288 kcal/mol of atoms



(10)
## Lu2AlOs (PBE)

Data for a relaxed Lu2AlOs crystal.

a = 3.2554 Å, b = 3.2554 Å, c = 30.6116 Å
α = 90.00°, β = 90.00°, γ = 120.00°
Closest atoms and distances in Å follow each position.
Space group R-3m (No. 166, hexagonal axes)
One atom of each set of equivalent atoms:
Lu  0.0000  0.0000  0.0996 [6 per cell]  3 Os 2.78, 1 Al 3.05
Al  0.0000  0.0000  0.0000 [3 per cell]  2 Lu 3.05, 6 Al 3.26
Os  0.0000  0.0000  0.5000 [3 per cell]  6 Lu 2.78

Calculated values
ρ = 10.06 g/cm3
Fermi-level density of states = 6.39 states/eV/cell
energy relative to the elements = 6.004 kcal/mol of atoms
relative energy among the computed polymorphs = 65.57 kJ/mol of atoms



(11)
## KY3Au (PBE)

Data for a relaxed KY3Au crystal.

a = 5.7131 Å, b = 5.7131 Å, c = 5.7131 Å
α = 90.00°, β = 90.00°, γ = 90.00°
Closest atoms and distances in Å follow each position.
Space group Pm-3m (No. 221)
One atom of each set of equivalent atoms:
K  0.0000  0.0000  0.0000 [1 per cell]  12 Y 4.04
Y  0.0000  0.5000  0.5000 [3 per cell]  2 Au 2.86
Au  0.5000  0.5000  0.5000 [1 per cell]  6 Y 2.86

Calculated values
ρ = 4.48 g/cm3
Fermi-level density of states = 11.27 states/eV/cell
energy relative to the elements = 0.809 kcal/mol of atoms
relative energy among the computed polymorphs = 0.00 kJ/mol of atoms



(12)
## KTcW2 (PBE)

Data for a relaxed KTcW2 crystal.

a = 3.8824 Å, b = 3.8824 Å, c = 4.9030 Å
α = 90.00°, β = 90.00°, γ = 90.00°
Closest atoms and distances in Å follow each position.
Space group P4/mmm (No. 123)
One atom of each set of equivalent atoms:
K  0.0000  0.0000  0.0000 [1 per cell]  4 Tc 2.75
Tc  0.5000  0.5000  0.0000 [1 per cell]  4 K 2.75
W  0.0000  0.5000  0.5000 [2 per cell]  4 W 2.75

Calculated values
ρ = 11.34 g/cm3
Fermi-level density of states = 4.68 states/eV/cell
energy relative to the elements = 45.191 kcal/mol of atoms
relative energy among the computed polymorphs = 115.98 kJ/mol of atoms



(13)
## La2TlPdRh (PBE)

Data for a relaxed La2TlPdRh crystal.

a = 8.0209 Å, b = 4.3268 Å, c = 8.1632 Å
α = 90.00°, β = 113.05°, γ = 90.00°
Closest atoms and distances in Å follow each position.
Space group P2_1/m (No. 11)
One atom of each set of equivalent atoms:
La  0.0883  0.2500  0.3350 [2 per cell]  2 Rh 2.93, 1 Pd 2.97
La  0.3215  0.7500  0.0650 [2 per cell]  3 Rh 2.92-3.09, 1 Pd 3.12
Tl  0.4260  0.7500  0.6088 [2 per cell]  2 Pd 2.92
Pd  0.2589  0.2500  0.7304 [2 per cell]  1 Rh 2.65, 2 Tl 2.92
Rh  0.0592  0.2500  0.9229 [2 per cell]  1 Pd 2.65, 2 Rh 2.85, 4 La 2.92-2.93

Calculated values
ρ = 8.81 g/cm3
Fermi-level density of states = 7.97 states/eV/cell
energy relative to the elements = -14.092 kcal/mol of atoms